# 1
Compound: Pm3Y2Tm6Sc
Source: the Alexandria database
Functional: GGA-PBE
Structure: optimized geometry

Unit cell a=6.111 b=6.111 c=11.649 alpha=95.01 beta=95.01 gamma=119.97
Fractional positions:
Pm 0.167 0.833 0.500
Pm 0.833 0.167 0.500
Pm 0.500 0.500 0.500
Y 0.334 0.666 0.000
Y 0.666 0.334 0.000
Tm 0.919 0.589 0.754
Tm 0.751 0.751 0.246
Tm 0.081 0.411 0.246
Tm 0.589 0.919 0.754
Tm 0.249 0.249 0.754
Tm 0.411 0.081 0.246
Sc 0.000 0.000 0.000

Results
For the energy, the calculation gives -5.00 eV/atom.

=====

# 2
Compound: Sm2O
Source: the Alexandria database
Functional: GGA-PBE
Structure: optimized geometry

Unit cell a=6.474 b=6.474 c=6.474 alpha=135.57 beta=135.57 gamma=64.64
Fractional positions:
Sm 0.734 0.734 0.000
Sm 0.266 0.266 0.000
Sm 0.016 0.516 0.500
Sm 0.484 0.984 0.500
O 0.500 0.500 0.000
O 0.250 0.750 0.500

Results
The calculation puts the excess energy over the best structure of this formula in the dataset at 0 meV/atom. As for the formation energy from raw total energies: -1843 meV per atom.

=====

# 3
Compound: Hf2ZrCu2
Source: the Alexandria database
Functional: GGA-PBE
Structure: optimized geometry

Unit cell a=7.594 b=7.594 c=3.183 alpha=90.00 beta=90.00 gamma=90.00
Fractional positions:
Hf 0.172 0.672 0.500
Hf 0.672 0.828 0.500
Hf 0.828 0.328 0.500
Hf 0.328 0.172 0.500
Cu 0.379 0.879 0.000
Cu 0.879 0.621 0.000
Cu 0.621 0.121 0.000
Cu 0.121 0.379 0.000
Zr 0.000 0.000 0.000
Zr 0.500 0.500 0.000

Results
The calculation puts the excess energy over the best structure of this formula in the dataset at 0 meV/atom.

=====

# 4
Compound: LiFeS2
Source: the Alexandria database
Functional: GGA-PBE
Structure: optimized geometry

Unit cell a=3.411 b=3.409 c=5.712 alpha=89.99 beta=90.00 gamma=120.02
Last column: magnetic moment on the atom in μB.
Fractional positions:
S 0.333 0.667 0.208  0.01
S 0.667 0.333 0.792  0.01
Fe 0.000 0.000 0.000  0.97
Li 0.000 0.000 0.500  0.00

Results
As for the formation energy from raw total energies: -703 meV per atom.

=====

# 5
Compound: Te3C
Source: the Alexandria database
Functional: GGA-PBE
Structure: optimized geometry

Unit cell a=7.443 b=7.443 c=7.443 alpha=30.34 beta=30.34 gamma=30.34
Fractional positions:
C 0.000 0.000 0.000
Te 0.731 0.731 0.731
Te 0.500 0.500 0.500
Te 0.269 0.269 0.269

Results
The calculation puts the excess energy over the best structure of this formula in the dataset at 311 meV/atom. As for the formation energy from raw total energies: 1116 meV per atom.

=====

# 6
Compound: Pm3DyY6Ho2
Source: the Alexandria database
Functional: GGA-PBE
Structure: optimized geometry

Unit cell a=6.205 b=6.205 c=11.840 alpha=94.99 beta=94.99 gamma=119.96
Fractional positions:
Pm 0.167 0.833 0.500
Pm 0.833 0.167 0.500
Pm 0.500 0.500 0.500
Dy 0.000 0.000 0.000
Y 0.918 0.584 0.753
Y 0.749 0.749 0.247
Y 0.082 0.416 0.247
Y 0.584 0.918 0.753
Y 0.251 0.251 0.753
Y 0.416 0.082 0.247
Ho 0.333 0.667 0.000
Ho 0.667 0.333 0.000

Results
For the energy, the calculation gives -5.55 eV/atom.

=====

# 7
Compound: LiSbTe
Source: the Alexandria database
Functional: GGA-PBE
Structure: optimized geometry

Unit cell a=3.255 b=3.255 c=8.823 alpha=90.00 beta=90.00 gamma=120.00
Fractional positions:
Li 0.000 0.000 0.994
Sb 0.667 0.333 0.266
Te 0.333 0.667 0.740

Results
The calculation puts the excess energy over the best structure of this formula in the dataset at 325 meV/atom. As for the formation energy from raw total energies: -139 meV per atom.

=====

# 8
Compound: TbSm2Sb
Source: the Alexandria database
Functional: GGA-PBE
Structure: optimized geometry

Unit cell a=4.871 b=4.839 c=4.839 alpha=90.00 beta=90.00 gamma=90.00
Fractional positions:
Sb 0.500 0.000 0.000
Tb 0.500 0.500 0.500
Sm 0.000 0.000 0.500
Sm 0.000 0.500 0.000

Results
The calculation puts the excess energy over the best structure of this formula in the dataset at 31 meV/atom. As for the formation energy from raw total energies: -517 meV per atom.

=====

# 9
Compound: Ta2CdSi
Source: the Alexandria database
Functional: GGA-PBE
Structure: optimized geometry

Unit cell a=3.527 b=3.527 c=5.813 alpha=90.00 beta=90.00 gamma=90.00
Fractional positions:
Cd 0.000 0.000 0.510
Si 0.500 0.500 0.761
Ta 0.000 0.000 0.004
Ta 0.500 0.500 0.225

Results
As for the formation energy from raw total energies: 147 meV per atom.

=====

# 10
Compound: RbCdGaTe3
Source: the Alexandria database
Functional: GGA-PBE
Structure: optimized geometry

Unit cell a=4.335 b=9.904 c=11.166 alpha=107.96 beta=90.00 gamma=90.00
Fractional positions:
Rb 0.250 0.213 0.223
Rb 0.750 0.787 0.777
Cd 0.250 0.645 0.091
Cd 0.750 0.355 0.909
Ga 0.250 0.088 0.623
Ga 0.750 0.912 0.377
Te 0.750 0.884 0.139
Te 0.250 0.116 0.861
Te 0.250 0.810 0.471
Te 0.750 0.190 0.529
Te 0.750 0.490 0.179
Te 0.250 0.510 0.821

Results
As for the formation energy from raw total energies: -519 meV per atom.

=====

# 11
Compound: ReW3
Source: the Alexandria database
Functional: GGA-PBE
Structure: optimized geometry

Unit cell a=2.746 b=2.746 c=8.947 alpha=90.00 beta=90.00 gamma=109.70
Fractional positions:
Re 0.000 0.000 0.000
W 0.000 0.000 0.500
W 0.500 0.500 0.248
W 0.500 0.500 0.752

Results
The calculation puts the excess energy over the best structure of this formula in the dataset at 49 meV/atom.

=====

# 12
Compound: Ir2Rh
Source: the Alexandria database
Functional: GGA-PBE
Structure: optimized geometry

Unit cell a=4.963 b=4.963 c=4.963 alpha=106.02 beta=106.02 gamma=116.62
Fractional positions:
Ir 0.359 0.141 0.500
Ir 0.859 0.359 0.218
Ir 0.141 0.641 0.782
Ir 0.641 0.859 0.500
Rh 0.250 0.250 0.000
Rh 0.750 0.750 0.000

Results
The calculation puts the excess energy over the best structure of this formula in the dataset at 547 meV/atom.

=====

# 13
Compound: LiFeHg2Pd
Source: the Alexandria database
Functional: GGA-PBE
Structure: optimized geometry

Unit cell a=5.245 b=4.786 c=5.245 alpha=90.00 beta=90.00 gamma=90.00
Last column: magnetic moment on the atom in μB.
Fractional positions:
Li 0.500 0.500 0.500  -0.02
Hg 0.000 0.000 0.500  -0.01
Hg 0.500 0.000 0.000  0.00
Pd 0.000 0.000 0.000  0.17
Fe 0.000 0.500 0.000  3.20

Results
For the energy, the calculation gives -2.81 eV/atom.

=====

# 14
Compound: Zr3Sn5Se12
Source: the Alexandria database
Functional: GGA-PBE
Structure: optimized geometry

Unit cell a=14.228 b=14.228 c=14.228 alpha=109.47 beta=109.47 gamma=109.47
Last column: magnetic moment on the atom in μB.
Fractional positions:
Zr 0.750 0.375 0.125  0.14
Zr 0.875 0.750 0.125  0.14
Zr 0.375 0.750 0.625  0.14
Zr 0.250 0.125 0.375  0.14
Zr 0.875 0.125 0.250  0.14
Zr 0.375 0.625 0.250  0.14
Zr 0.625 0.375 0.750  0.14
Zr 0.125 0.875 0.750  0.14
Zr 0.750 0.875 0.625  0.14
Zr 0.625 0.250 0.375  0.14
Zr 0.125 0.250 0.875  0.14
Zr 0.250 0.625 0.875  0.14
Sn 0.125 0.375 0.250  0.00
Sn 0.000 0.500 0.000  0.00
Sn 0.000 0.000 0.000  0.00
Sn 0.375 0.250 0.125  0.00
Sn 0.500 0.000 0.500  0.00
Sn 0.500 0.500 0.000  0.00
Sn 0.125 0.750 0.375  0.00
Sn 0.750 0.125 0.875  0.00
Sn 0.750 0.625 0.375  0.00
Sn 0.375 0.125 0.750  0.00
Sn 0.625 0.875 0.250  0.00
Sn 0.500 0.500 0.500  0.00
Sn 0.500 0.000 0.000  0.00
Sn 0.000 0.000 0.500  0.00
Sn 0.250 0.375 0.625  0.00
Sn 0.250 0.875 0.125  0.00
Sn 0.000 0.500 0.500  0.00
Sn 0.875 0.250 0.625  0.00
Sn 0.625 0.750 0.875  0.00
Sn 0.875 0.625 0.750  0.00
Se 0.729 0.143 0.060  -0.01
Se 0.331 0.560 0.417  -0.01
Se 0.940 0.357 0.271  -0.01
Se 0.560 0.229 0.143  -0.01
Se 0.586 0.729 0.669  -0.01
Se 0.940 0.583 0.169  -0.01
Se 0.331 0.771 0.414  -0.01
Se 0.083 0.914 0.143  -0.01
Se 0.583 0.940 0.669  -0.01
Se 0.729 0.586 0.169  -0.01
Se 0.771 0.440 0.357  -0.01
Se 0.831 0.917 0.060  -0.01
Se 0.143 0.729 0.560  -0.01
Se 0.357 0.417 0.086  -0.01
Se 0.086 0.917 0.357  -0.01
Se 0.414 0.143 0.583  -0.01
Se 0.086 0.169 0.229  -0.01
Se 0.440 0.669 0.083  -0.01
Se 0.831 0.914 0.271  -0.01
Se 0.143 0.414 0.083  -0.01
Se 0.357 0.940 0.771  -0.01
Se 0.583 0.643 0.414  -0.01
Se 0.917 0.831 0.560  -0.01
Se 0.771 0.331 0.914  -0.01
Se 0.417 0.357 0.586  -0.01
Se 0.083 0.169 0.440  -0.01
Se 0.229 0.669 0.086  -0.01
Se 0.169 0.086 0.729  -0.01
Se 0.643 0.060 0.229  -0.01
Se 0.857 0.586 0.917  -0.01
Se 0.560 0.331 0.917  -0.01
Se 0.586 0.857 0.417  -0.01
Se 0.914 0.831 0.771  -0.01
Se 0.914 0.083 0.643  -0.01
Se 0.857 0.271 0.440  -0.01
Se 0.169 0.083 0.940  -0.01
Se 0.643 0.583 0.914  -0.01
Se 0.417 0.060 0.331  -0.01
Se 0.271 0.414 0.831  -0.01
Se 0.229 0.560 0.643  -0.01
Se 0.917 0.086 0.857  -0.01
Se 0.669 0.229 0.586  -0.01
Se 0.440 0.771 0.857  -0.01
Se 0.060 0.417 0.831  -0.01
Se 0.414 0.271 0.331  -0.01
Se 0.060 0.643 0.729  -0.01
Se 0.669 0.440 0.583  -0.01
Se 0.271 0.857 0.940  -0.01

Results
As for the formation energy from raw total energies: -518 meV per atom.

=====

# 15
Compound: BeWSe4
Source: the Alexandria database
Functional: GGA-PBE
Structure: optimized geometry

Unit cell a=5.535 b=5.535 c=5.535 alpha=60.00 beta=60.00 gamma=60.00
Last column: magnetic moment on the atom in μB.
Fractional positions:
Be 0.000 0.000 0.000  -0.05
W 0.250 0.250 0.250  2.31
Se 0.625 0.625 0.125  0.03
Se 0.625 0.125 0.625  0.03
Se 0.625 0.625 0.625  0.03
Se 0.125 0.625 0.625  0.03

Results
As for the formation energy from raw total energies: 1495 meV per atom.

=====

# 16
Compound: Tb5PmEr
Source: the Alexandria database
Functional: GGA-PBE
Structure: optimized geometry

Unit cell a=6.163 b=7.987 c=7.703 alpha=121.22 beta=113.58 gamma=90.00
Fractional positions:
Tb 0.190 0.254 0.509
Tb 0.170 0.500 0.000
Tb 0.681 0.746 0.491
Tb 0.432 0.180 0.000
Tb 0.432 0.820 0.000
Pm 0.931 0.000 0.000
Er 0.694 0.500 0.000

Results
The calculation puts the excess energy over the best structure of this formula in the dataset at 756 meV/atom.

=====

# 17
Compound: SrRhBr2
Source: the Alexandria database
Functional: GGA-PBE
Structure: optimized geometry

Unit cell a=6.464 b=6.464 c=6.464 alpha=142.04 beta=142.04 gamma=54.77
Last column: magnetic moment on the atom in μB.
Fractional positions:
Sr 0.750 0.250 0.500  -0.01
Rh 0.500 0.500 0.000  0.86
Br 0.000 0.000 0.000  0.05
Br 0.250 0.750 0.500  0.01

Results
The calculation puts the excess energy over the best structure of this formula in the dataset at 290 meV/atom. As for the formation energy from raw total energies: -579 meV per atom.

=====

# 18
Compound: Pr4GaHgI2
Source: the Alexandria database
Functional: GGA-PBE
Structure: optimized geometry

Unit cell a=4.457 b=7.709 c=8.040 alpha=108.47 beta=90.00 gamma=90.00
Fractional positions:
Pr 0.500 0.251 0.226
Pr 0.500 0.749 0.774
Pr 0.000 0.271 0.783
Pr 0.000 0.729 0.217
Ga 0.500 0.500 0.000
Hg 0.000 0.000 0.000
I 0.500 0.000 0.500
I 0.000 0.500 0.500

Results
As for the formation energy from raw total energies: -708 meV per atom.

=====

# 19
Compound: KNaCaIn
Source: the Alexandria database
Functional: GGA-PBE
Structure: optimized geometry

Unit cell a=5.779 b=5.779 c=5.779 alpha=60.00 beta=60.00 gamma=60.00
Last column: magnetic moment on the atom in μB.
Fractional positions:
Na 0.750 0.750 0.750  0.00
Ca 0.250 0.250 0.250  0.04
K 0.000 0.000 0.000  0.01
In 0.500 0.500 0.500  0.09

Results
For the energy, the calculation gives -1.81 eV/atom.

=====

# 20
Compound: BeRuCl2
Source: the Alexandria database
Functional: GGA-PBE
Structure: optimized geometry

Unit cell a=7.140 b=7.140 c=3.478 alpha=75.79 beta=75.79 gamma=26.55
Fractional positions:
Ru 0.750 0.750 0.750
Be 0.250 0.250 0.250
Cl 0.876 0.876 0.123
Cl 0.624 0.624 0.377

Results
The calculation puts the excess energy over the best structure of this formula in the dataset at 78 meV/atom. As for the formation energy from raw total energies: -158 meV per atom.

=====

# 21
Compound: LiCdReI2
Source: the Alexandria database
Functional: GGA-PBE
Structure: optimized geometry

Unit cell a=6.078 b=5.450 c=6.078 alpha=90.00 beta=90.00 gamma=90.00
Last column: magnetic moment on the atom in μB.
Fractional positions:
I 0.000 0.000 0.500  0.06
I 0.500 0.000 0.000  0.03
Re 0.000 0.500 0.000  3.48
Li 0.500 0.500 0.500  -0.01
Cd 0.000 0.000 0.000  -0.02

Results
As for the formation energy from raw total energies: 990 meV per atom.

=====

# 22
Compound: Sm7Co2Au2
Source: the Alexandria database
Functional: GGA-PBE
Structure: optimized geometry

Unit cell a=6.759 b=6.999 c=6.759 alpha=90.00 beta=110.24 gamma=90.00
Fractional positions:
Sm 0.000 0.252 0.500
Sm 0.500 0.748 0.000
Sm 0.000 0.748 0.500
Sm 0.500 0.252 0.000
Sm 0.000 0.000 0.000
Sm 0.500 0.757 0.500
Sm 0.500 0.243 0.500
Co 0.704 0.000 0.296
Co 0.296 0.000 0.704
Au 0.818 0.500 0.818
Au 0.182 0.500 0.182

Results
For the energy, the calculation gives -5.14 eV/atom.

=====

Sequential calculated volume output: 30.92 21.85 18.36 14.37 23.32 32.41 26.98 28.52 18.08 38.00 15.88 15.50 26.34 27.72 19.98 40.94 25.36 32.76 34.12 19.18 40.28 27.27 A^3/atom
Sequential calculated density output: 7.48 8.02 10.41 3.67 7.03 6.24 5.26 8.46 11.53 4.74 19.28 17.41 7.19 5.44 7.05 6.41 5.73 6.89 2.64 3.92 4.61 8.66 g/cm3